(a)
Entry from the Alexandria database: a relaxed ScTcBi2 crystal (GGA-PBE).

Structure (CIF):
```
data_ScTcBi2
_chemical_formula_sum 'Sc4 Tc4 Bi8'
_symmetry_space_group_name_H-M 'F m -3 m'
_symmetry_Int_Tables_number 225
_symmetry_space_group_name_Hall '-F 4 2 3'
_cell_length_a 7.037
_cell_length_b 7.037
_cell_length_c 7.037
_cell_angle_alpha 90.00
_cell_angle_beta 90.00
_cell_angle_gamma 90.00
loop_
_atom_site_label
_atom_site_type_symbol
_atom_site_fract_x
_atom_site_fract_y
_atom_site_fract_z
Sc1 Sc 0.000 0.000 0.000
Tc1 Tc 0.000 0.000 0.500
Bi1 Bi 0.250 0.250 0.250
```

(b)
Entry from the Alexandria database: a relaxed ScTcBi2 crystal (GGA-PBE).

Structure (CIF):
```
data_ScTcBi2
_chemical_formula_sum 'Sc4 Tc4 Bi8'
_symmetry_space_group_name_H-M 'I -4 2 d'
_symmetry_Int_Tables_number 122
_symmetry_space_group_name_Hall 'I -4 2bw'
_cell_length_a 4.450
_cell_length_b 4.450
_cell_length_c 20.082
_cell_angle_alpha 90.00
_cell_angle_beta 90.00
_cell_angle_gamma 90.00
loop_
_atom_site_label
_atom_site_type_symbol
_atom_site_fract_x
_atom_site_fract_y
_atom_site_fract_z
Sc1 Sc 0.000 0.000 0.000
Tc1 Tc 0.000 0.000 0.500
Bi1 Bi 0.238 0.250 0.625
```

Short version: (b) is the least stable of them.